Computed, not measured: crystalline Li3Fe2P3O12 at its relaxed geometry at the PBE+U level of DFT.

a = 8.395 Å, b = 8.428 Å, c = 8.941 Å
α = 62.85°, β = 62.66°, γ = 60.13°
Sites, in units of the cell vectors:
Li  0.167  0.261  0.141
Li  0.239  0.090  0.784
Li  0.323  0.581  0.364
Li  0.677  0.419  0.636
Li  0.761  0.910  0.216
Li  0.833  0.739  0.859
Fe  0.146  0.650  0.064
Fe  0.346  0.852  0.462
Fe  0.654  0.148  0.538
Fe  0.854  0.350  0.936
P  0.047  0.966  0.242
P  0.253  0.458  0.742
P  0.460  0.251  0.252
P  0.540  0.749  0.748
P  0.747  0.542  0.258
P  0.953  0.034  0.758
O  0.050  0.111  0.054
O  0.121  0.367  0.760
O  0.136  0.759  0.233
O  0.164  0.000  0.638
O  0.168  0.999  0.307
O  0.187  0.499  0.918
O  0.228  0.647  0.588
O  0.266  0.381  0.212
O  0.368  0.725  0.913
O  0.460  0.303  0.398
O  0.466  0.318  0.707
O  0.483  0.038  0.311
O  0.517  0.962  0.689
O  0.534  0.682  0.293
O  0.540  0.697  0.602
O  0.632  0.275  0.087
O  0.734  0.619  0.788
O  0.772  0.353  0.412
O  0.813  0.501  0.082
O  0.832  0.001  0.693
O  0.836  0.000  0.362
O  0.864  0.241  0.767
O  0.879  0.633  0.240
O  0.950  0.889  0.946

Output
- Magnetization: 19.9 Bohr magnetons per cell
- DOS at the Fermi energy: 0.000 states/eV/f.u.
- Density: 3.0 g cm⁻³
- Polymorph energy (0 for the lowest one): 0 meV/atom